1.
An optimized crystal structure of SbPtW2. Source: the Alexandria database, functional PBE.

abc: 5.961 5.961 11.692
angles: 90.00 90.00 90.00
Space group I-42d (No. 122)
Symmetry-distinct sites (fractional):
Sb 0.000 0.000 0.000 [4 per cell]
Pt 0.000 0.000 0.500 [4 per cell]
W 0.214 0.250 0.625 [8 per cell]

Summary:
DOS(E_F): 0.83 states/eV/atom
Crystal system: tetragonal
Calculated total energy: -123.74 eV per cell

2.
An optimized crystal structure of Y6SbP2Se3. Source: the Alexandria database, functional PBE.

abc: 18.005 4.100 8.295
angles: 90.00 103.40 90.00
Space group C2/m (No. 12)
Symmetry-distinct sites (fractional):
Y 0.009 0.000 0.264 [4 per cell]
Y 0.172 0.500 0.108 [4 per cell]
Y 0.173 0.500 0.573 [4 per cell]
Sb 0.000 0.500 0.000 [2 per cell]
P 0.168 0.000 0.337 [4 per cell]
Se 0.000 0.500 0.500 [2 per cell]
Se 0.163 0.000 0.834 [4 per cell]

Summary:
DOS(E_F): 0.37 states/eV/atom
Crystal system: monoclinic
Calculated total energy: -168.47 eV per cell

3.
An optimized crystal structure of Sm4MgTl3. Source: the Alexandria database, functional PBE.

abc: 3.859 4.944 12.417
angles: 90.00 90.00 90.00
Space group Pmm2 (No. 25)
Symmetry-distinct sites (fractional):
Sm 0.000 0.000 0.000 [1 per cell]
Sm 0.000 0.500 0.310 [1 per cell]
Sm 0.500 0.000 0.501 [1 per cell]
Sm 0.500 0.500 0.816 [1 per cell]
Mg 0.000 0.000 0.726 [1 per cell]
Tl 0.000 0.500 0.580 [1 per cell]
Tl 0.500 0.000 0.241 [1 per cell]
Tl 0.500 0.500 0.075 [1 per cell]

Summary:
DOS(E_F): 0.98 states/eV/atom
Crystal system: orthorhombic
Calculated total energy: -29.61 eV per cell
E_form: -0.26 eV per atom
Distance to the lowest polymorph of the same formula: 1.35 kcal/mol of atoms

4.
An optimized crystal structure of CsNa2Zn. Source: the Alexandria database, functional PBE.

abc: 4.8266 4.8266 31.9918
angles: 90.00 90.00 120.00
Space group R-3m (No. 166, hexagonal axes)
Symmetry-distinct sites (fractional):
Cs 0.0000 0.0000 0.0000 [3 per cell]
Na 0.0000 0.0000 0.1273 [6 per cell]
Zn 0.0000 0.0000 0.5000 [3 per cell]

Summary:
DOS(E_F): 0.62 states/eV/atom
Crystal system: trigonal
Calculated total energy: -11.50 eV per cell
E_form: 0.23 eV per atom